The following is a PBE calculation of a relaxed CsK3Hg4I12 crystal, from Alexandria.

The structure belongs to space group R32 (No. 155, hexagonal axes); the cell edges are 17.0353, 17.0353 and 14.2378 Å and the angles 90.00°, 90.00° and 120.00°. The distinct sites, in fractional coordinates, are Cs at (0.0000, 0.0000, 0.0000), K at (0.0000, 0.5392, 0.0000), Hg at (0.0000, 0.0000, 0.5000), Hg at (0.0000, 0.4488, 0.5000), I at (0.0000, 0.6115, 0.5000), I at (0.0000, 0.8385, 0.5000) and I at (0.0428, 0.2114, 0.1575).

As for the total DFT energy (no corrections): -1.953 eV/atom.